Entry from the Alexandria database: a geometry-optimized AlCr2H2 structure (PBE).

a = 5.0506 Å, b = 5.0506 Å, c = 5.0506 Å
α = 144.73°, β = 144.73°, γ = 50.73°
Closest atoms and distances in Å follow each position.
Positions (direct):
Al 0.0000 0.0000 0.0000  8 Cr 2.63, 8 H 2.75
Cr 0.3356 0.3356 0.0000  4 H 1.72
Cr 0.6644 0.6644 0.0000  4 H 1.72
H 0.2500 0.7500 0.5000  4 Cr 1.72
H 0.7500 0.2500 0.5000  4 Cr 1.72

The value obtained for the spin magnetization is 0.000 μB per atom. The crystal system is tetragonal. The symmetry is No. 139. The calculated total energy comes out at -5.9698 eV per atom.